(1)
## AsRh3 (PBE)

Data for a relaxed structure of AsRh3.

Lattice parameters (Å, degrees): 5.3350 5.3350 5.3350 149.02 129.62 60.33
Closest atoms and distances in Å follow each position.
Sites, in units of the cell vectors:
Rh  0.4202  0.5000  0.9202  2 As 2.43
Rh  0.4921  0.7784  0.7137  1 As 2.39
Rh  0.9353  0.2216  0.7137  1 As 2.39
As  0.9858  0.0000  0.9858  4 Rh 2.39-2.43

Properties
total magnetization: 0.00 Bohr magnetons per cell
ΔH_f (0 K): -124 meV per atom
uncorrected energy: -6.800 eV/atom

(2)
## NaNiAs2Se (PBE)

Data for a relaxed structure of NaNiAs2Se.

Lattice parameters (Å, degrees): 4.9344 4.9344 4.9827 90.00 90.00 90.00
Closest atoms and distances in Å follow each position.
Sites, in units of the cell vectors:
Se  0.0000  0.0000  0.5000  2 Na 2.49
Na  0.0000  0.0000  0.0000  4 As 2.47, 2 Se 2.49
Ni  0.5000  0.5000  0.5000  4 Se 3.49, 8 As 3.51
As  0.0000  0.5000  0.0000  2 Na 2.47
As  0.5000  0.0000  0.0000  2 Na 2.47

Properties
distance to the lowest polymorph of the same formula: 1.2882 eV/atom
total magnetization: 0.65 Bohr magnetons per cell
formation energy from raw total energies: 1.31 eV per atom
uncorrected energy: -2.664 eV/atom

(3)
## Tl8Tc (PBE)

Data for a relaxed structure of Tl8Tc.

Lattice parameters (Å, degrees): 8.3741 8.3741 8.3741 92.99 92.99 153.60
Closest atoms and distances in Å follow each position.
Sites, in units of the cell vectors:
Tl  0.6426  0.6426  0.2851  2 Tc 3.01, 6 Tl 3.29-3.30
Tl  0.6426  0.3574  0.0000  2 Tc 3.01, 6 Tl 3.29-3.30
Tl  0.0000  0.3272  0.3272  8 Tl 3.30-3.41
Tl  0.3574  0.6426  0.0000  2 Tc 3.01, 6 Tl 3.29-3.30
Tl  0.0000  0.6728  0.6728  8 Tl 3.30-3.41
Tl  0.3574  0.3574  0.7149  2 Tc 3.01, 6 Tl 3.29-3.30
Tl  0.6728  0.0000  0.6728  8 Tl 3.30-3.41
Tl  0.3272  0.0000  0.3272  8 Tl 3.30-3.41
Tc  0.0000  0.0000  0.0000  8 Tl 3.01

Properties
total magnetization: 0.01 Bohr magnetons per cell
ΔH_f (0 K): 335 meV per atom
uncorrected energy: -2.920 eV/atom

(4)
## MgAgF2 (PBE)

Data for a relaxed structure of MgAgF2.

Lattice parameters (Å, degrees): 5.9014 5.9014 6.0565 60.84 60.84 90.00
Closest atoms and distances in Å follow each position.
Sites, in units of the cell vectors:
F  0.3077  0.6250  0.2500  2 Mg 1.88
F  0.8750  0.6923  0.7500  2 Mg 1.88
F  0.3750  0.5577  0.7500  2 Mg 1.88
F  0.4423  0.1250  0.2500  2 Mg 1.88
Ag  0.0000  0.0000  0.0000  4 F 3.15
Ag  0.7500  0.2500  0.5000  4 F 3.15
Mg  0.5000  0.5000  0.0000  4 F 1.88
Mg  0.2500  0.7500  0.5000  4 F 1.88

Properties
distance to the lowest polymorph of the same formula: 0.3100 eV/atom
total magnetization: 0.00 Bohr magnetons per cell
formation energy from raw total energies: -2.10 eV per atom
uncorrected energy: -4.149 eV/atom

(5)
## CdAgPd5 (PBE)

Data for a relaxed structure of CdAgPd5.

Lattice parameters (Å, degrees): 5.0814 5.0814 10.4796 90.00 90.00 64.67
Closest atoms and distances in Å follow each position.
Sites, in units of the cell vectors:
Pd  0.4056  0.1350  0.8833  1 Cd 2.72, 7 Pd 2.74-3.05, 2 Ag 2.83-2.99
Pd  0.1351  0.4057  0.1166  2 Cd 2.72-3.05, 7 Pd 2.74-3.05, 2 Ag 2.82-2.99
Pd  0.1217  0.8783  0.2500  2 Ag 2.65-2.78, 2 Cd 2.70, 4 Pd 2.75
Pd  0.8649  0.5943  0.8834  2 Cd 2.72-3.05, 7 Pd 2.74-3.05, 2 Ag 2.82-2.99
Pd  0.5944  0.8650  0.1167  1 Cd 2.72, 7 Pd 2.74-3.05, 2 Ag 2.83-2.99
Pd  0.1350  0.4056  0.3833  1 Cd 2.72, 7 Pd 2.74-3.05, 2 Ag 2.83-2.99
Pd  0.8650  0.5944  0.6167  1 Cd 2.72, 7 Pd 2.74-3.05, 2 Ag 2.83-2.99
Pd  0.4057  0.1351  0.6166  2 Cd 2.72-3.05, 7 Pd 2.74-3.05, 2 Ag 2.82-2.99
Pd  0.5943  0.8649  0.3834  2 Cd 2.72-3.05, 7 Pd 2.74-3.05, 2 Ag 2.82-2.99
Pd  0.8783  0.1217  0.7500  2 Ag 2.65-2.78, 2 Cd 2.70, 4 Pd 2.75
Cd  0.0000  0.0000  0.5000  6 Pd 2.70-2.72
Cd  0.0000  0.0000  0.0000  6 Pd 2.70-2.72
Ag  0.3663  0.6337  0.7500  6 Pd 2.65-2.83
Ag  0.6337  0.3663  0.2500  6 Pd 2.65-2.83

Properties
distance to the lowest polymorph of the same formula: 0.0000 eV/atom
total magnetization: 0.00 Bohr magnetons per cell
ΔH_f (0 K): -22 meV per atom
uncorrected energy: -4.269 eV/atom

(6)
## TcTe2Se (PBE)

Data for a relaxed structure of TcTe2Se.

Lattice parameters (Å, degrees): 12.5346 12.5346 12.5346 13.95 13.95 13.95
Closest atoms and distances in Å follow each position.
Sites, in units of the cell vectors:
Te  0.9289  0.9289  0.9289  1 Tc 2.65
Te  0.0711  0.0711  0.0711  1 Tc 2.65
Se  0.5000  0.5000  0.5000  6 Se 3.05
Tc  0.0000  0.0000  0.0000  2 Te 2.65

Properties
total magnetization: 0.00 Bohr magnetons per cell
formation energy from raw total energies: 0.71 eV per atom
uncorrected energy: -4.319 eV/atom

(7)
## Zr2NiSe (PBE)

Data for a relaxed structure of Zr2NiSe.

Lattice parameters (Å, degrees): 3.6847 3.6847 7.0136 74.82 74.82 59.77
Closest atoms and distances in Å follow each position.
Sites, in units of the cell vectors:
Ni  0.7500  0.7500  0.7500  6 Zr 2.59-2.60
Zr  0.0093  0.0093  0.9726  3 Ni 2.59-2.60, 3 Se 2.82
Zr  0.4907  0.4907  0.5274  3 Ni 2.59-2.60, 3 Se 2.82
Se  0.2500  0.2500  0.2500  6 Zr 2.82

Properties
total magnetization: 0.00 Bohr magnetons per cell
formation energy from raw total energies: -0.72 eV per atom
uncorrected energy: -7.311 eV/atom

(8)
## CuOsCl2 (PBE)

Data for a relaxed structure of CuOsCl2.

Lattice parameters (Å, degrees): 6.2886 6.2886 6.2886 153.58 139.50 49.01
Closest atoms and distances in Å follow each position.
Sites, in units of the cell vectors:
Cl  0.0650  0.0650  0.0000  2 Os 2.52
Cl  0.7594  0.2594  0.5000  4 Os 2.61, 2 Cl 2.87, 2 Cu 2.92
Cu  0.4298  0.4298  0.0000  2 Os 2.55
Os  0.2458  0.7458  0.5000  6 Cl 2.52-2.61, 2 Cu 2.55

Properties
distance to the lowest polymorph of the same formula: 0.4533 eV/atom
total magnetization: 0.00 Bohr magnetons per cell
formation energy from raw total energies: 0.68 eV per atom
uncorrected energy: -4.079 eV/atom